# Cu3S2Cl2

A relaxed structure of Cu3S2Cl2 (PBE-GGA, the Alexandria database).

Results
crystal system = triclinic
raw formation energy = -0.32 eV per atom

Cell: 3.728 5.748 6.387 Å, 107.74 90.18 90.06°
Space group P-1 (No. 2)
One atom of each set of equivalent atoms:
Cu (0.000, 0.000, 0.000) x1
Cu (0.498, 0.361, 0.682) x2
S (0.001, 0.665, 0.130) x2
Cl (0.497, 0.202, 0.304) x2

# LaTbPm4

A relaxed structure of LaTbPm4 (PBE-GGA, the Alexandria database).

Results
crystal system = orthorhombic
formation energy from the elements = 0.020 eV/atom
excess energy over the best structure of this formula in the dataset = 0.002 eV per atom

Cell: 3.667 5.138 11.015 Å, 90.00 90.00 90.00°
Space group Pmmm (No. 47)
One atom of each set of equivalent atoms:
La (0.000, 0.000, 0.000) x1
Tb (0.500, 0.500, 0.500) x1
Pm (0.000, 0.000, 0.336) x2
Pm (0.500, 0.500, 0.171) x2